SmYSe2 | GGA-PBEsol | relaxed

Space group ... No. 166
ΔE_f (raw) ... -1.871 eV per atom
Magnetization ... 0.000 μB/f.u.
Uncorrected energy ... -27.10 eV for the cell shown
Crystal system ... trigonal

Unit cell a=4.0365 b=4.0365 c=7.1239 alpha=73.54 beta=73.54 gamma=60.00
With the nearest neighbours (Å) after each atom.
Fractional positions:
1 Sm 0.0000 0.0000 0.0000  6 Se 2.91
2 Y 0.5000 0.5000 0.5000  6 Se 2.84
3 Se 0.2472 0.2472 0.2584  3 Y 2.84, 3 Sm 2.91
4 Se 0.7528 0.7528 0.7416  3 Y 2.84, 3 Sm 2.91